DFT (PBE with a Hubbard U) results for a geometry-optimized NaAcMoO5 structure.

Structure (POSCAR):
```
NaAcMoO5
1.0
-5.348 -0.655 4.157
4.411 -5.179 -0.171
4.571 6.111 3.918
Na Ac Mo O
2 2 2 10
direct
0.269 0.731 0.250 Na
0.731 0.269 0.750 Na
0.000 0.000 0.500 Ac
0.000 0.000 0.000 Ac
0.711 0.289 0.250 Mo
0.289 0.711 0.750 Mo
0.079 0.921 0.250 O
0.921 0.079 0.750 O
0.948 0.342 0.166 O
0.052 0.658 0.834 O
0.658 0.052 0.334 O
0.342 0.948 0.666 O
0.787 0.544 0.418 O
0.213 0.456 0.582 O
0.456 0.213 0.082 O
0.544 0.787 0.918 O
```

total DFT energy (no corrections) = -54.97 eV/f.u.
space group = C2/c, No. 15